No. 1
A plane-wave DFT calculation with PBE was carried out for a relaxed structure of VGeMo2.

## Properties
**DOS at the Fermi energy**: 1.0653 states/eV/atom
**V**: 129.1 Å³/cell
**Space group**: I-42d (122)
**Energy of formation from the pure elements**: 2.38 eV/f.u.
**Calculated total energy**: -66.03 eV for the cell shown

Cell: 5.5795 5.5795 5.5795 Å, 103.73 103.73 121.68°
Last column: nearest neighbours and their distance in Å.
Positions (direct):
V1 0.0000 0.0000 0.0000  4 Mo 2.47, 2 Ge 2.72
V2 0.7500 0.2500 0.5000  4 Mo 2.47, 2 Ge 2.72
Ge1 0.2500 0.7500 0.5000  4 Mo 2.59, 2 V 2.72
Ge2 0.5000 0.5000 0.0000  4 Mo 2.59, 2 V 2.72
Mo1 0.1130 0.6250 0.9880  2 V 2.47, 2 Ge 2.59, 2 Mo 2.72
Mo2 0.3750 0.3630 0.4880  2 V 2.47, 2 Ge 2.59, 2 Mo 2.72
Mo3 0.6370 0.1250 0.0120  2 V 2.47, 2 Ge 2.59, 2 Mo 2.72
Mo4 0.8750 0.8870 0.5120  2 V 2.47, 2 Ge 2.59, 2 Mo 2.72

No. 2
A plane-wave DFT calculation with PBE was carried out for a relaxed structure of Li2PmCrH8.

## Properties
**DOS at the Fermi energy**: 0.1859 states/eV/atom
**V**: 103.0 Å³/cell
**Space group**: P-1 (2)
**Calculated total energy**: -47.38 eV for the cell shown

Cell: 3.2524 5.4423 5.9895 Å, 78.48 87.98 82.75°
Last column: nearest neighbours and their distance in Å.
Positions (direct):
Li1 0.0762 0.0749 0.2406  4 H 1.86-2.03
Li2 0.9238 0.9251 0.7594  4 H 1.86-2.03
Pm1 0.5000 0.5000 0.5000  8 H 2.27-2.36
Cr1 0.5000 0.5000 0.0000  8 H 1.71-1.88
H1 0.0110 0.4876 0.8469  3 H 1.86-2.08, 2 Cr 1.87-1.88
H2 0.0608 0.2007 0.5384  2 Li 1.88-2.03
H3 0.4383 0.7561 0.1322  1 Cr 1.72
H4 0.4559 0.7508 0.7765  1 Cr 1.71, 2 Li 1.86-1.88
H5 0.5441 0.2492 0.2235  1 Cr 1.71, 2 Li 1.86-1.88
H6 0.5617 0.2439 0.8678  1 Cr 1.72
H7 0.9392 0.7993 0.4616  2 Li 1.88-2.03
H8 0.9890 0.5124 0.1531  3 H 1.86-2.08, 2 Cr 1.87-1.88

No. 3
A plane-wave DFT calculation with PBE was carried out for a relaxed structure of Na2S2I.

## Properties
**Formation energy (no corrections)**: -0.69 eV/atom
**DOS at the Fermi energy**: 0.5850 states/eV/atom
**V**: 134.3 Å³/cell
**Space group**: I4/mmm (139)
**Calculated total energy**: -15.91 eV for the cell shown
**Polymorph energy (0 for the lowest one)**: 0 meV per atom

Cell: 5.8886 5.8886 5.8886 Å, 124.13 124.13 82.99°
Last column: nearest neighbours and their distance in Å.
Positions (direct):
Na1 0.2500 0.7500 0.5000  4 S 3.01
Na2 0.7500 0.2500 0.5000  4 S 3.01
S1 0.1140 0.1140 0.0000  1 S 2.01
S2 0.8860 0.8860 0.0000  1 S 2.01
I1 0.5000 0.5000 0.0000  2 S 3.41, 8 Na 3.53

No. 4
A plane-wave DFT calculation with PBE was carried out for a relaxed structure of YZnCd.

## Properties
**DOS at the Fermi energy**: 1.2900 states/eV/atom
**V**: 73.5 Å³/cell
**Space group**: F-43m (216)
**Energy of formation from the pure elements**: -0.57 eV/f.u.
**Calculated total energy**: -9.22 eV for the cell shown

Cell: 4.7027 4.7027 4.7027 Å, 60.00 60.00 60.00°
Last column: nearest neighbours and their distance in Å.
Positions (direct):
Y1 0.0000 0.0000 0.0000  4 Zn 2.88
Zn1 0.7500 0.7500 0.7500  4 Cd 2.88, 4 Y 2.88
Cd1 0.5000 0.5000 0.5000  4 Zn 2.88

No. 5
A plane-wave DFT calculation with PBE was carried out for a relaxed structure of NdYTh2.

## Properties
**DOS at the Fermi energy**: 1.7069 states/eV/atom
**V**: 264.3 Å³/cell
**Space group**: P2_1/m (11)
**Energy of formation from the pure elements**: 0.11 eV/f.u.
**Calculated total energy**: -51.92 eV for the cell shown
**Polymorph energy (0 for the lowest one)**: 0 meV per atom

Cell: 5.0720 5.1003 10.2176 Å, 90.00 90.09 90.00°
Last column: nearest neighbours and their distance in Å.
Positions (direct):
Nd1 0.9997 0.2500 0.1337  4 Th 3.58, 6 Y 3.60-3.73, 2 Nd 3.74
Nd2 0.0003 0.7500 0.8663  4 Th 3.58, 6 Y 3.60-3.73, 2 Nd 3.74
Y1 0.5001 0.2500 0.8670  4 Th 3.57-3.60, 6 Nd 3.60-3.73, 2 Y 3.73
Y2 0.4999 0.7500 0.1330  4 Th 3.57-3.60, 6 Nd 3.60-3.73, 2 Y 3.73
Th1 0.0000 0.2500 0.6208  8 Th 3.52-3.60, 2 Y 3.57, 2 Nd 3.58
Th2 0.0000 0.7500 0.3792  8 Th 3.52-3.60, 2 Y 3.57, 2 Nd 3.58
Th3 0.5004 0.2500 0.3814  8 Th 3.52-3.60, 2 Nd 3.58, 2 Y 3.60
Th4 0.4996 0.7500 0.6186  8 Th 3.52-3.60, 2 Nd 3.58, 2 Y 3.60

No. 6
A plane-wave DFT calculation with PBE was carried out for a relaxed structure of Pu2Cd2Pd3.

## Properties
**DOS at the Fermi energy**: 3.1916 states/eV/atom
**V**: 154.6 Å³/cell
**Space group**: P-1 (2)
**Energy of formation from the pure elements**: -2.06 eV/f.u.
**Calculated total energy**: -48.13 eV for the cell shown

Cell: 4.8211 4.9778 7.3072 Å, 70.15 70.80 89.92°
Last column: nearest neighbours and their distance in Å.
Positions (direct):
Pu1 0.1248 0.1246 0.2523  6 Pd 2.93-2.96, 1 Pu 3.19
Pu2 0.8752 0.8754 0.7477  6 Pd 2.93-2.96, 1 Pu 3.19
Cd1 0.3824 0.3814 0.7353  6 Pd 2.85-3.06, 1 Cd 3.03
Cd2 0.6176 0.6186 0.2647  6 Pd 2.85-3.06, 1 Cd 3.03
Pd1 0.0000 0.5000 0.5000  4 Cd 2.85, 4 Pu 2.95-2.96, 2 Pd 3.15
Pd2 0.2440 0.7448 0.0111  4 Cd 2.91-3.06, 4 Pu 2.93-2.95, 1 Pd 3.15
Pd3 0.7560 0.2552 0.9889  4 Cd 2.91-3.06, 4 Pu 2.93-2.95, 1 Pd 3.15

No. 7
A plane-wave DFT calculation with PBE was carried out for a relaxed structure of NaGaHg2.

## Properties
**DOS at the Fermi energy**: 0.3009 states/eV/atom
**V**: 399.6 Å³/cell
**Space group**: Pnma (62)
**Energy of formation from the pure elements**: -0.38 eV/f.u.
**Calculated total energy**: -21.30 eV for the cell shown

Cell: 7.9157 3.4224 14.7508 Å, 90.00 90.00 90.00°
Last column: nearest neighbours and their distance in Å.
Positions (direct):
Na1 0.0092 0.2500 0.1254  7 Hg 3.20-3.32, 2 Na 3.42, 2 Ga 3.49
Na2 0.4908 0.7500 0.6254  7 Hg 3.20-3.32, 2 Na 3.42, 2 Ga 3.49
Na3 0.5092 0.2500 0.3746  7 Hg 3.20-3.32, 2 Na 3.42, 2 Ga 3.49
Na4 0.9908 0.7500 0.8746  7 Hg 3.20-3.32, 2 Na 3.42, 2 Ga 3.49
Ga1 0.1246 0.7500 0.3696  4 Hg 2.69-2.86
Ga2 0.3754 0.2500 0.8696  4 Hg 2.69-2.86
Ga3 0.6246 0.7500 0.1304  4 Hg 2.69-2.86
Ga4 0.8754 0.2500 0.6304  4 Hg 2.69-2.86
Hg1 0.1788 0.2500 0.7208  2 Ga 2.69-2.75, 1 Hg 2.99
Hg2 0.2064 0.2500 0.5186  3 Ga 2.86-3.10, 1 Hg 2.99
Hg3 0.2936 0.7500 0.0186  3 Ga 2.86-3.10, 1 Hg 2.99
Hg4 0.3212 0.7500 0.2208  2 Ga 2.69-2.75, 1 Hg 2.99
Hg5 0.6788 0.2500 0.7792  2 Ga 2.69-2.75, 1 Hg 2.99
Hg6 0.7064 0.2500 0.9814  3 Ga 2.86-3.10, 1 Hg 2.99
Hg7 0.7936 0.7500 0.4814  3 Ga 2.86-3.10, 1 Hg 2.99
Hg8 0.8212 0.7500 0.2792  2 Ga 2.69-2.75, 1 Hg 2.99

No. 8
A plane-wave DFT calculation with PBE was carried out for a relaxed structure of MnPAuCl2.

## Properties
**Formation energy (no corrections)**: 0.16 eV/atom
**DOS at the Fermi energy**: 0.2693 states/eV/atom
**V**: 105.6 Å³/cell
**Space group**: P4/mmm (123)
**Calculated total energy**: -20.74 eV for the cell shown
**Polymorph energy (0 for the lowest one)**: 0 meV per atom

Cell: 4.5370 4.5370 5.1321 Å, 90.00 90.00 90.00°
Last column: nearest neighbours and their distance in Å.
Positions (direct):
Mn1 0.0000 0.0000 0.0000  4 Cl 2.27
P1 0.0000 0.0000 0.5000  2 Mn 2.57
Au1 0.5000 0.5000 0.5000  4 P 3.21, 8 Cl 3.43
Cl1 0.0000 0.5000 0.0000  2 Mn 2.27
Cl2 0.5000 0.0000 0.0000  2 Mn 2.27

No. 9
A plane-wave DFT calculation with PBE was carried out for a relaxed structure of K4ZrCu.

## Properties
**DOS at the Fermi energy**: 1.6792 states/eV/atom
**V**: 266.5 Å³/cell
**Space group**: F-43m (216)
**Energy of formation from the pure elements**: 6.44 eV/f.u.
**Calculated total energy**: -10.59 eV for the cell shown

Cell: 7.2236 7.2236 7.2236 Å, 60.00 60.00 60.00°
Last column: nearest neighbours and their distance in Å.
Positions (direct):
K1 0.1255 0.1255 0.1255  6 K 3.60-3.62
K2 0.1255 0.1255 0.6236  6 K 3.60-3.62
K3 0.1255 0.6236 0.1255  6 K 3.60-3.62
K4 0.6236 0.1255 0.1255  6 K 3.60-3.62
Zr1 0.7500 0.7500 0.7500  12 K 4.24, 4 Cu 4.42
Cu1 0.5000 0.5000 0.5000  12 K 4.23, 4 Zr 4.42

No. 10
A plane-wave DFT calculation with PBE was carried out for a relaxed structure of Pr4Th3PaN8.

## Properties
**Formation energy (no corrections)**: -1.51 eV/atom
**DOS at the Fermi energy**: 0.4968 states/eV/atom
**V**: 276.7 Å³/cell
**Space group**: R-3m (166)
**Calculated total energy**: -141.60 eV for the cell shown

Cell: 7.3145 7.3145 7.3145 Å, 60.00 60.00 60.00°
Last column: nearest neighbours and their distance in Å.
Positions (direct):
Pr1 0.0000 0.0000 0.0000  6 N 2.78
Pr2 0.0000 0.5000 0.5000  6 N 2.66
Pr3 0.5000 0.0000 0.5000  6 N 2.66
Pr4 0.5000 0.5000 0.0000  6 N 2.66
Th1 0.0000 0.0000 0.5000  6 N 2.52-2.53
Th2 0.0000 0.5000 0.0000  6 N 2.52-2.53
Th3 0.5000 0.0000 0.0000  6 N 2.52-2.53
Pa1 0.5000 0.5000 0.5000  6 N 2.40
N1 0.2430 0.2430 0.2430  3 Th 2.52, 3 Pr 2.66
N2 0.2563 0.7315 0.7315  1 Pa 2.40, 2 Th 2.53, 2 Pr 2.66
N3 0.2685 0.2685 0.7437  1 Pa 2.40, 2 Th 2.53, 2 Pr 2.66
N4 0.2685 0.7437 0.2685  1 Pa 2.40, 2 Th 2.53, 2 Pr 2.66
N5 0.7315 0.2563 0.7315  1 Pa 2.40, 2 Th 2.53, 2 Pr 2.66
N6 0.7315 0.7315 0.2563  1 Pa 2.40, 2 Th 2.53, 2 Pr 2.66
N7 0.7437 0.2685 0.2685  1 Pa 2.40, 2 Th 2.53, 2 Pr 2.66
N8 0.7570 0.7570 0.7570  3 Th 2.52, 3 Pr 2.66